No. 1
A plane-wave DFT calculation with PBE was carried out for an optimized crystal structure of NaCdGa2Pd.

The raw total energy is -0.105 hartree per atom. As for the symmetry: P4/mmm.

Lattice parameters (Å, degrees): 4.843 4.843 5.260 90.00 90.00 90.00
Fractional positions:
Na 0.500 0.500 0.500
Ga 0.000 0.500 0.000
Ga 0.500 0.000 0.000
Pd 0.000 0.000 0.000
Cd 0.000 0.000 0.500



No. 2
A plane-wave DFT calculation with PBE was carried out for an optimized crystal structure of K2YNi.

As for the symmetry: I4/mmm. As for the offset from the most stable computed form: 0.4518 eV per atom.

Lattice parameters (Å, degrees): 7.155 7.155 7.155 144.46 144.46 51.15
Fractional positions:
K 0.000 0.000 0.000
K 0.500 0.500 0.000
Ni 0.250 0.750 0.500
Y 0.750 0.250 0.500



No. 3
A plane-wave DFT calculation with PBE was carried out for an optimized crystal structure of EuY2Ho.

As for the symmetry: P4/mmm. As for the offset from the most stable computed form: 0.0376 eV per atom.

Lattice parameters (Å, degrees): 5.106 5.108 5.108 90.00 90.00 90.00
Fractional positions:
Eu 0.500 0.500 0.500
Y 0.000 0.000 0.500
Y 0.000 0.500 0.000
Ho 0.500 0.000 0.000



No. 4
A plane-wave DFT calculation with PBE was carried out for an optimized crystal structure of Zr3SbN.

As for the symmetry: Pmma. The value obtained for the formation energy (no corrections) is -0.912 eV/atom.

Lattice parameters (Å, degrees): 4.356 4.692 9.232 90.00 90.02 90.00
Fractional positions:
Zr 0.500 0.250 0.883
Zr 0.500 0.750 0.117
Zr 0.000 0.750 0.363
Zr 0.000 0.250 0.637
Zr 0.500 0.250 0.384
Zr 0.500 0.750 0.616
Sb 0.000 0.250 0.138
Sb 0.000 0.750 0.862
N 0.500 0.750 0.373
N 0.500 0.250 0.627



No. 5
A plane-wave DFT calculation with PBE was carried out for an optimized crystal structure of AcTc2Ge4.

As for the symmetry: I-42d. As for the offset from the most stable computed form: 0.1422 eV per atom.

Lattice parameters (Å, degrees): 7.030 7.030 7.030 111.33 105.81 111.33
Fractional positions:
Ac 0.000 0.000 0.000
Ac 0.750 0.500 0.250
Tc 0.875 0.089 0.464
Tc 0.536 0.411 0.625
Tc 0.375 0.911 0.786
Tc 0.214 0.589 0.125
Ge 0.205 0.949 0.433
Ge 0.567 0.772 0.516
Ge 0.006 0.551 0.734
Ge 0.266 0.272 0.817
Ge 0.545 0.728 0.994
Ge 0.744 0.228 0.795
Ge 0.484 0.051 0.256
Ge 0.183 0.449 0.455



No. 6
A plane-wave DFT calculation with PBE was carried out for an optimized crystal structure of Zn2PdAu8.

As for the symmetry: Cmmm. As for the offset from the most stable computed form: 0.0576 eV per atom.

Lattice parameters (Å, degrees): 4.207 8.366 6.971 53.12 90.00 90.00
Fractional positions:
Zn 0.000 0.381 0.237
Zn 0.000 0.619 0.763
Pd 0.500 0.000 0.000
Au 0.000 0.042 0.266
Au 0.000 0.307 0.734
Au 0.500 0.333 0.000
Au 0.500 0.752 0.497
Au 0.500 0.248 0.503
Au 0.500 0.667 0.000
Au 0.000 0.693 0.266
Au 0.000 0.958 0.734



No. 7
A plane-wave DFT calculation with PBE was carried out for an optimized crystal structure of NbBrCl2.

As for the symmetry: I-42d. The value obtained for the formation energy (no corrections) is -0.719 eV/atom. As for the offset from the most stable computed form: 0.2215 eV per atom.

Lattice parameters (Å, degrees): 8.924 8.924 6.862 49.44 49.44 90.00
Fractional positions:
Nb 0.000 0.000 0.000
Nb 0.750 0.250 0.500
Br 0.500 0.500 0.000
Br 0.250 0.750 0.500
Cl 0.766 0.125 0.250
Cl 0.984 0.625 0.250
Cl 0.375 0.234 0.750
Cl 0.875 0.016 0.750



No. 8
A plane-wave DFT calculation with PBE was carried out for an optimized crystal structure of LaDy2Pd.

As for the symmetry: R-3m. As for the offset from the most stable computed form: 0.1531 eV per atom.

Lattice parameters (Å, degrees): 3.779 3.779 9.982 79.09 79.09 60.00
Fractional positions:
La 0.500 0.500 0.500
Pd 0.000 0.000 0.000
Dy 0.271 0.271 0.187
Dy 0.729 0.729 0.813



No. 9
A plane-wave DFT calculation with PBE was carried out for an optimized crystal structure of Tm2CdHg8.

As for the symmetry: C2/m. As for the offset from the most stable computed form: 0.0232 eV per atom.

Lattice parameters (Å, degrees): 4.762 6.902 8.909 107.77 105.50 90.00
Fractional positions:
Tm 0.788 0.326 0.575
Tm 0.212 0.674 0.425
Cd 0.500 0.000 0.000
Hg 0.392 0.575 0.784
Hg 0.656 0.892 0.312
Hg 0.836 0.805 0.673
Hg 0.971 0.273 0.942
Hg 0.164 0.195 0.327
Hg 0.344 0.108 0.688
Hg 0.608 0.425 0.216
Hg 0.029 0.727 0.058



No. 10
A plane-wave DFT calculation with PBE was carried out for an optimized crystal structure of AcLa2Eu.

As for the symmetry: P4/mmm. As for the offset from the most stable computed form: 0.0010 eV per atom.

Lattice parameters (Å, degrees): 3.864 3.864 10.713 90.00 90.00 90.00
Fractional positions:
Eu 0.500 0.500 0.500
Ac 0.500 0.500 0.000
La 0.000 0.000 0.754
La 0.000 0.000 0.246



No. 11
A plane-wave DFT calculation with PBE was carried out for an optimized crystal structure of PmNd3Ho2.

As for the symmetry: Fddd. As for the offset from the most stable computed form: 0.0000 eV per atom.

Lattice parameters (Å, degrees): 7.245 6.273 12.019 110.35 90.01 125.24
Fractional positions:
Pm 0.125 0.000 0.250
Pm 0.875 0.000 0.750
Nd 0.375 0.000 0.750
Nd 0.625 0.000 0.250
Nd 0.958 0.666 0.916
Nd 0.292 0.334 0.584
Nd 0.708 0.666 0.416
Nd 0.042 0.334 0.084
Ho 0.209 0.668 0.418
Ho 0.459 0.668 0.918
Ho 0.541 0.332 0.082
Ho 0.791 0.332 0.582



No. 12
A plane-wave DFT calculation with PBE was carried out for an optimized crystal structure of SrBeCd2.

The raw total energy is -0.051 hartree per atom. As for the symmetry: C2/m.

Lattice parameters (Å, degrees): 6.289 6.289 3.462 76.61 76.61 122.42
Fractional positions:
Sr 0.500 0.000 0.500
Be 0.000 0.500 0.500
Cd 0.000 0.000 0.000
Cd 0.500 0.500 0.000



No. 13
A plane-wave DFT calculation with PBE was carried out for an optimized crystal structure of Ce3Al2Ga4.

The raw total energy is -0.172 hartree per atom. As for the symmetry: P-6m2.

Lattice parameters (Å, degrees): 4.530 4.530 21.919 90.00 90.00 120.00
Fractional positions:
Ce 0.333 0.667 0.250
Ce 0.333 0.667 0.583
Ce 0.333 0.667 0.918
Ce 0.333 0.667 0.083
Ce 0.333 0.667 0.416
Ce 0.333 0.667 0.750
Al 0.000 0.000 0.167
Al 0.000 0.000 0.500
Al 0.000 0.000 0.834
Al 0.667 0.333 0.167
Ga 0.667 0.333 0.499
Ga 0.667 0.333 0.835
Ga 0.667 0.333 0.005
Ga 0.667 0.333 0.328
Ga 0.667 0.333 0.667
Ga 0.000 0.000 0.336
Ga 0.000 0.000 0.667
Ga 0.000 0.000 0.998



No. 14
A plane-wave DFT calculation with PBE was carried out for an optimized crystal structure of BaAs3Rh.

As for the symmetry: Pm-3m. As for the offset from the most stable computed form: 1.9984 eV per atom.

Lattice parameters (Å, degrees): 5.673 5.673 5.673 90.00 90.00 90.00
Fractional positions:
As 0.000 0.500 0.000
As 0.000 0.000 0.500
As 0.500 0.000 0.000
Rh 0.500 0.500 0.500
Ba 0.000 0.000 0.000



No. 15
A plane-wave DFT calculation with PBE was carried out for an optimized crystal structure of YMn2Cu.

As for the symmetry: P4mm. As for the offset from the most stable computed form: 0.0709 eV per atom.

Lattice parameters (Å, degrees): 3.164 3.164 6.694 90.00 90.00 90.00
Fractional positions:
Cu 0.500 0.500 0.803
Mn 0.000 0.000 0.005
Mn 0.500 0.500 0.192
Y 0.000 0.000 0.500